# 1
VASP calculation (PBE) on a relaxed Tc2MoSe crystal.

Cell and atoms, written as POSCAR:
```
Tc2MoSe
1.0
3.7645 0.0000 0.0000
0.0000 3.7645 0.0000
0.0000 0.0000 8.5738
Tc Mo Se
4 2 2
Direct
0.0000 0.5000 0.2500
0.0000 0.5000 0.7500
0.5000 0.0000 0.2500
0.5000 0.0000 0.7500
0.0000 0.0000 0.0000
0.5000 0.5000 0.5000
0.0000 0.0000 0.5000
0.5000 0.5000 0.0000
```

Computed properties:
As for the raw formation energy: 161 kJ/mol of formula units. Its density of states at the Fermi level is 5.06 states/eV/f.u. For the magnetization, the calculation gives 0.0 μB/f.u.

=====

# 2
VASP calculation (PBE) on a relaxed Tc2MoSe crystal.

Cell and atoms, written as POSCAR:
```
Tc2MoSe
1.0
9.5846 0.0000 0.0000
0.0000 2.9912 0.0000
-0.2236 0.0000 4.3945
Tc Mo Se
4 2 2
Direct
0.2237 0.0000 0.2267
0.2763 0.5000 0.7733
0.7237 0.5000 0.2267
0.7763 0.0000 0.7733
0.0000 0.5000 0.0000
0.5000 0.0000 0.0000
0.0000 0.0000 0.5000
0.5000 0.5000 0.5000
```

Computed properties:
As for the raw formation energy: 99 kJ/mol of formula units. Its density of states at the Fermi level is 2.99 states/eV/f.u. For the magnetization, the calculation gives 0.0 μB/f.u.

=====

# 3
VASP calculation (PBE) on a relaxed Tc2MoSe crystal.

Cell and atoms, written as POSCAR:
```
Tc2MoSe
1.0
5.6623 0.0000 0.0000
0.0000 5.6623 0.0000
0.0000 0.0000 10.8532
Tc Mo Se
8 4 4
Direct
0.2470 0.2500 0.1250
0.2500 0.7470 0.3750
0.2500 0.7530 0.8750
0.2530 0.2500 0.6250
0.7470 0.7500 0.6250
0.7500 0.2470 0.8750
0.7500 0.2530 0.3750
0.7530 0.7500 0.1250
0.0000 0.0000 0.5000
0.0000 0.5000 0.7500
0.5000 0.0000 0.2500
0.5000 0.5000 0.0000
0.0000 0.0000 0.0000
0.0000 0.5000 0.2500
0.5000 0.0000 0.7500
0.5000 0.5000 0.5000
```

Computed properties:
As for the raw formation energy: 322 kJ/mol of formula units. Its density of states at the Fermi level is 2.57 states/eV/f.u. For the magnetization, the calculation gives 0.0 μB/f.u.

=====

# 4
VASP calculation (PBE) on a relaxed TcMo2Se crystal.

Cell and atoms, written as POSCAR:
```
TcMo2Se
1.0
2.9516 0.0000 0.0000
-1.4758 2.5561 0.0000
0.0000 0.0000 25.4814
Tc Mo Se
3 6 3
Direct
0.0000 0.0000 0.0000
0.3333 0.6667 0.6667
0.6667 0.3333 0.3333
0.0000 0.0000 0.2548
0.0000 0.0000 0.4981
0.3333 0.6667 0.1647
0.3333 0.6667 0.9215
0.6667 0.3333 0.5881
0.6667 0.3333 0.8314
0.0000 0.0000 0.7552
0.3333 0.6667 0.4219
0.6667 0.3333 0.0886
```

Computed properties:
As for the raw formation energy: 96 kJ/mol of formula units. Its density of states at the Fermi level is 3.38 states/eV/f.u. For the magnetization, the calculation gives 0.0 μB/f.u.